No. 1
The following is a GGA-PBE calculation of a relaxed structure of SmHo4Rh2, from Alexandria. Values from VASP.

Structure (Quantum ESPRESSO input):
```
&SYSTEM
  ibrav = 0, nat = 14, ntyp = 3
/
ATOMIC_SPECIES
Rh 102.91 Rh.upf
Ho 164.93 Ho.upf
Sm 150.36 Sm.upf
CELL_PARAMETERS angstrom
-1.838 -1.294 -5.997
6.536 -4.281 -1.079
-5.955 -4.218 2.736
ATOMIC_POSITIONS angstrom
Rh 0.141 -5.493 -0.568
Rh -1.398 -4.301 -3.773
Ho -0.819 -2.820 -0.850
Ho -3.563 -2.658 -3.464
Ho 2.307 -7.136 -0.877
Sm -0.485 -1.754 -4.602
Ho 1.507 -4.182 -2.963
Rh -4.631 -5.633 0.925
Ho 2.417 -3.541 0.008
Ho -2.764 -5.612 -1.377
Ho -0.438 -6.973 -3.490
Rh 3.375 -4.161 -5.266
Ho -3.674 -6.253 -4.348
Sm -0.772 -8.039 0.262
```

Output
V: 362.9 Å³ per cell
formation energy: -0.483 eV/atom
symmetry: P2_1/m (11)
E: -82.227 eV for the cell shown



No. 2
The following is a GGA-PBE calculation of a relaxed structure of Na3GdI6, from Alexandria. Values from VASP.

Structure (Quantum ESPRESSO input):
```
&SYSTEM
  ibrav = 0, nat = 10, ntyp = 3
/
ATOMIC_SPECIES
I 126.90 I.upf
Na 22.99 Na.upf
Gd 157.25 Gd.upf
CELL_PARAMETERS angstrom
7.903 0.045 0.004
-3.883 6.883 0.004
1.348 2.324 7.567
ATOMIC_POSITIONS angstrom
I 4.066 7.094 5.806
I 5.259 4.704 1.776
I 3.894 2.352 5.800
Na 3.965 2.330 0.004
I 1.227 2.202 1.770
Na 0.036 4.609 0.004
Gd -3.871 6.876 0.004
Na 6.580 2.366 3.788
I 1.540 6.959 1.825
I 0.091 4.461 5.750
```

Output
V: 412.8 Å³ per cell
symmetry: C2 (5)
E: -40.559 eV for the cell shown
formation energy without anion corrections: -1.32 eV per atom



No. 3
The following is a GGA-PBE calculation of a relaxed structure of La2Zn2Ag15, from Alexandria. Values from VASP.

Structure (Quantum ESPRESSO input):
```
&SYSTEM
  ibrav = 0, nat = 19, ntyp = 3
/
ATOMIC_SPECIES
Ag 107.87 Ag.upf
Zn 65.41 Zn.upf
La 138.91 La.upf
CELL_PARAMETERS angstrom
-1.920 -6.629 -2.478
5.356 -3.840 3.215
-3.769 -2.198 5.893
ATOMIC_POSITIONS angstrom
Ag -2.874 -6.339 2.720
Ag 3.165 -4.680 1.501
Ag -2.477 -5.295 0.042
Ag -1.986 -5.514 5.239
Zn -0.033 -1.267 0.663
Ag 2.609 -3.346 4.021
Ag 2.540 -6.328 3.910
Ag 0.270 -5.789 -0.764
Ag 2.678 -1.920 1.608
Ag -0.960 -3.314 -1.239
La -0.219 -8.307 4.348
La -0.115 -4.360 2.282
Ag -1.885 -1.099 2.947
Zn -0.300 -11.401 5.968
Ag 1.652 -7.154 1.392
Ag 0.735 -4.956 5.544
Ag -1.022 -2.693 5.087
Ag -1.069 -7.712 1.086
Ag -3.212 -3.532 3.373
```

Output
V: 384.5 Å³ per cell
formation energy: -0.080 eV/atom
symmetry: R-3m (166)
E: -56.686 eV for the cell shown



No. 4
The following is a GGA-PBE calculation of a relaxed structure of LiLa2Bi4, from Alexandria. Values from VASP.

Structure (Quantum ESPRESSO input):
```
&SYSTEM
  ibrav = 0, nat = 7, ntyp = 3
/
ATOMIC_SPECIES
Bi 208.98 Bi.upf
La 138.91 La.upf
Li 6.94 Li.upf
CELL_PARAMETERS angstrom
-3.280 2.685 -2.873
-2.395 -4.331 -1.314
-8.010 0.009 4.591
ATOMIC_POSITIONS angstrom
Bi -1.197 -2.166 -0.657
Bi -1.640 1.342 -1.437
La -9.435 -1.041 0.672
Bi -7.431 -1.364 -1.917
Li 0.000 0.000 0.000
La -4.250 -0.596 -0.268
Bi -6.254 -0.273 2.321
```

Output
V: 222.7 Å³ per cell
formation energy: -0.446 eV/atom
symmetry: I4/mmm (139)
E: -30.412 eV for the cell shown



No. 5
The following is a GGA-PBE calculation of a relaxed structure of Mg2ReGe2, from Alexandria. Values from VASP.

Structure (Quantum ESPRESSO input):
```
&SYSTEM
  ibrav = 0, nat = 5, ntyp = 3
/
ATOMIC_SPECIES
Ge 72.64 Ge.upf
Re 186.21 Re.upf
Mg 24.30 Mg.upf
CELL_PARAMETERS angstrom
-2.893 -1.637 -1.392
-0.952 -1.116 3.292
-5.514 4.235 1.814
ATOMIC_POSITIONS angstrom
Ge -2.597 -0.324 1.112
Ge -6.763 1.804 2.602
Re 0.000 0.000 0.000
Mg -5.165 0.610 0.686
Mg -4.194 0.871 3.028
```

Output
V: 87.3 Å³ per cell
formation energy: 0.675 eV/atom
symmetry: I4/mmm (139)
E: -21.495 eV for the cell shown



No. 6
The following is a GGA-PBE calculation of a relaxed structure of NdTh2In, from Alexandria. Values from VASP.

Structure (Quantum ESPRESSO input):
```
&SYSTEM
  ibrav = 0, nat = 4, ntyp = 3
/
ATOMIC_SPECIES
Th 232.04 Th.upf
In 114.82 In.upf
Nd 144.24 Nd.upf
CELL_PARAMETERS angstrom
-0.402 -3.348 -0.557
1.592 -2.268 2.000
-9.386 -1.974 8.154
ATOMIC_POSITIONS angstrom
Th -6.702 -1.946 6.049
In -4.098 -3.795 4.799
Nd 0.000 0.000 0.000
Th -1.494 -5.644 3.549
```

Output
V: 125.8 Å³ per cell
formation energy: 0.129 eV/atom
symmetry: R-3m (166)
E: -21.831 eV for the cell shown



No. 7
The following is a GGA-PBE calculation of a relaxed structure of Cr2TcPt, from Alexandria. Values from VASP.

Structure (Quantum ESPRESSO input):
```
&SYSTEM
  ibrav = 0, nat = 4, ntyp = 3
/
ATOMIC_SPECIES
Pt 195.08 Pt.upf
Cr 52.00 Cr.upf
Tc 98.00 Tc.upf
CELL_PARAMETERS angstrom
-0.979 -0.648 3.647
-3.574 -0.829 -1.107
0.929 -3.509 -0.374
ATOMIC_POSITIONS angstrom
Pt -0.025 -2.079 1.637
Cr -2.276 -0.738 1.270
Tc -1.322 -2.169 -0.740
Cr 0.000 0.000 0.000
```

Output
V: 53.6 Å³ per cell
formation energy: -0.060 eV/atom
symmetry: P4/mmm (123)
E: -35.892 eV for the cell shown



No. 8
The following is a GGA-PBE calculation of a relaxed structure of Ce2Hg2Pb, from Alexandria. Values from VASP.

Structure (Quantum ESPRESSO input):
```
&SYSTEM
  ibrav = 0, nat = 5, ntyp = 3
/
ATOMIC_SPECIES
Ce 140.12 Ce.upf
Hg 200.59 Hg.upf
Pb 207.20 Pb.upf
CELL_PARAMETERS angstrom
3.469 0.000 0.000
0.000 4.927 -0.090
0.000 -2.316 7.977
ATOMIC_POSITIONS angstrom
Ce 1.734 2.498 1.795
Hg 0.000 2.552 4.705
Pb 0.000 0.000 0.000
Hg 0.000 0.059 3.182
Ce 1.734 0.113 6.092
```

Output
V: 135.6 Å³ per cell
formation energy: -0.357 eV/atom
symmetry: Cmmm (65)
E: -17.964 eV for the cell shown



> Which value of E does entry 5 give?

-21.495 eV for the cell shown



> E of number 4 (LiLa2Bi4)?

-30.412 eV for the cell shown



> Among the records above, which one has the lowest V?

Cr2TcPt